Material: Cd2CoNO
Method: DFT, PBE+U
State: relaxed

abc: 4.395 4.395 4.075
angles: 90.00 90.00 90.00
Positions (direct):
Cd  0.000  0.500  0.000
Cd  0.500  0.000  0.000
Co  0.000  0.000  0.500
N  0.500  0.500  0.000
O  0.500  0.500  0.500

Fermi-level density of states = 0.7 states/eV/f.u.
Energy above the most stable polymorph in this dataset = 532 meV per atom